[1]
An optimized crystal structure of Nd2SmY6Er. Source: the Alexandria database, functional PBE.

Summary:
ΔE_f = 0.111 eV/atom
Final energy = -5.65 eV per atom
Density of states at the Fermi level = 1.452 states/eV/atom

abc: 9.109 15.076 9.796
angles: 90.00 99.53 90.00
Space group C2/c (No. 15)
Symmetry-distinct sites (fractional):
Nd 0.244 0.050 0.045
Sm 0.000 0.018 0.750
Y 0.067 0.189 0.443
Y 0.099 0.395 0.618
Y 0.204 0.222 0.814
Er 0.000 0.407 0.250

---

[2]
An optimized crystal structure of NdSm2Y6Er. Source: the Alexandria database, functional PBE.

Summary:
ΔE_f = 0.119 eV/atom
Final energy = -5.64 eV per atom
Density of states at the Fermi level = 1.568 states/eV/atom

abc: 9.106 15.026 9.834
angles: 90.00 100.18 90.00
Space group C2/c (No. 15)
Symmetry-distinct sites (fractional):
Nd 0.000 0.096 0.250
Sm 0.239 0.451 0.044
Y 0.065 0.313 0.444
Y 0.102 0.103 0.620
Y 0.198 0.277 0.816
Er 0.000 0.481 0.750

---

[3]
An optimized crystal structure of Nd2Sm3Y6Er. Source: the Alexandria database, functional PBE.

Summary:
ΔE_f = 0.014 eV/atom
Final energy = -5.57 eV per atom
Density of states at the Fermi level = 1.298 states/eV/atom

abc: 6.238 10.799 11.880
angles: 90.00 100.03 90.00
Space group C2/m (No. 12)
Symmetry-distinct sites (fractional):
Nd 0.000 0.166 0.000
Sm 0.000 0.000 0.500
Sm 0.000 0.333 0.500
Y 0.249 0.500 0.750
Y 0.250 0.166 0.750
Er 0.000 0.500 0.000

---

[4]
An optimized crystal structure of NdSmErZr. Source: the Alexandria database, functional PBE.

Summary:
ΔE_f = 0.242 eV/atom
Final energy = -5.41 eV per atom
Density of states at the Fermi level = 2.109 states/eV/atom

abc: 7.851 7.851 7.851
angles: 90.00 90.00 90.00
Space group F-43m (No. 216)
Symmetry-distinct sites (fractional):
Nd 0.000 0.000 0.000
Sm 0.250 0.250 0.250
Er 0.250 0.250 0.750
Zr 0.000 0.000 0.500

---

Repeat the second record exactly.
An optimized crystal structure of NdSm2Y6Er. Source: the Alexandria database, functional PBE.

Summary:
ΔE_f = 0.119 eV/atom
Final energy = -5.64 eV per atom
Density of states at the Fermi level = 1.568 states/eV/atom

abc: 9.106 15.026 9.834
angles: 90.00 100.18 90.00
Space group C2/c (No. 15)
Symmetry-distinct sites (fractional):
Nd 0.000 0.096 0.250
Sm 0.239 0.451 0.044
Y 0.065 0.313 0.444
Y 0.102 0.103 0.620
Y 0.198 0.277 0.816
Er 0.000 0.481 0.750

---

Q: The highest ΔE_f belongs to which entry?
A: NdSmErZr